# 1
This record from Alexandria via LeMat-Bulk describes FeHgOF2 after structural relaxation. The functional is PBE with a Hubbard U.

The value obtained for the theoretical density is 7.674 g/cm3. As for the magnetization: 0.944 μB per atom. The value obtained for the energy above the lowest structure with this stoichiometry is 0.00 eV/f.u. The crystal system is tetragonal.

a b c (Å): 4.146 4.146 3.908
angles (deg): 90.00 90.00 90.00
Fractional positions:
Fe  0.000  0.000  0.000
Hg  0.500  0.500  0.500
O  0.000  0.000  0.500
F  0.000  0.500  0.000
F  0.500  0.000  0.000

---

# 2
This record from Alexandria via LeMat-Bulk describes FeHgO2F after structural relaxation. The functional is PBE with a Hubbard U.

The value obtained for the theoretical density is 8.201 g/cm3. As for the magnetization: 0.971 μB per atom. The crystal system is tetragonal. Its electronic total energy is -4.541 eV/atom.

a b c (Å): 3.972 3.972 3.946
angles (deg): 90.00 90.00 90.00
Fractional positions:
Fe  0.000  0.000  0.000
Hg  0.500  0.500  0.500
O  0.000  0.500  0.000
O  0.500  0.000  0.000
F  0.000  0.000  0.500

---

> What is the formula in the first record?

FeHgOF2